The following is a DFT calculation (PBE-GGA) of LiCeDy after structural relaxation.

Summary:
total energy = -4.07 eV per atom
crystal system = tetragonal
distance to the lowest polymorph of the same formula = 0 meV/atom
space group = No. 129
formation energy = 0.23 eV per formula unit
DOS(E_F) = 1.562 states/eV/atom

```
LiCeDy
1.0
3.510 0.000 0.000
0.000 3.510 0.000
0.000 0.000 12.637
Li Dy Ce
2 2 2
direct
0.000 0.500 0.553 Li
0.500 0.000 0.447 Li
0.000 0.500 0.276 Dy
0.500 0.000 0.724 Dy
0.500 0.000 0.086 Ce
0.000 0.500 0.914 Ce
```